DFT (PBE+U) results for crystalline CdCoTe2O at its relaxed geometry.

Density = 6.70 g/cm3
Energy = -17.866 eV for the cell shown

a b c (Å): 5.6134 5.6134 3.4792
angles (deg): 90.00 90.00 90.00
Closest atoms and distances in Å follow each position.
Space group P4/mmm (No. 123)
Symmetry-distinct sites (fractional):
Cd: 0.0000 0.0000 0.0000  8 Te 3.30, 2 Cd 3.48
Co: 0.5000 0.5000 0.5000  2 O 1.74
Te: 0.0000 0.5000 0.5000  2 Co 2.81
O: 0.5000 0.5000 0.0000  2 Co 1.74